Entry 1:
The following is a DFT calculation (PBE) of a relaxed structure of PaPd2PbO8.

## Properties
E: -6.3979 eV/atom
E_form (uncorrected): -1.127 eV per atom
size of the total moment: 0.00 μB per atom

```
PaPd2PbO8
1.0
-3.539 3.539 3.484
3.539 -3.539 3.484
3.539 3.539 -3.484
Pa Pd Pb O
1 2 1 8
direct
0.000 0.000 0.000
0.500 0.500 0.000
0.750 0.250 0.500
0.250 0.750 0.500
0.279 0.104 0.825
0.279 0.454 0.175
0.354 0.033 0.321
0.546 0.721 0.825
0.712 0.033 0.679
0.896 0.721 0.175
0.967 0.288 0.321
0.967 0.646 0.679
```



Entry 2:
The following is a DFT calculation (PBE) of a relaxed structure of NpZnInPd.

## Properties
ΔH_f (0 K): -0.136 eV/atom
E: -5.6724 eV/atom
size of the total moment: 0.97 μB per atom

```
NpZnInPd
1.0
0.000 3.428 3.428
3.428 0.000 3.428
3.428 3.428 0.000
Np Zn In Pd
1 1 1 1
direct
0.000 0.000 0.000
0.250 0.250 0.250
0.500 0.500 0.500
0.750 0.750 0.750
```